No. 1
# Cs2NaTaCl6

A geometry-optimized Cs2NaTaCl6 structure (PBEsol, the Alexandria database).

Structure (CIF):
```
data_Cs2NaTaCl6
_chemical_formula_sum 'Cs8 Na4 Ta4 Cl24'
_cell_length_a 10.3512
_cell_length_b 10.3512
_cell_length_c 10.3512
_cell_angle_alpha 90.00
_cell_angle_beta 90.00
_cell_angle_gamma 90.00
_symmetry_space_group_name_H-M 'F m -3 m'
_symmetry_Int_Tables_number 225
_symmetry_space_group_name_Hall '-F 4 2 3'
loop_
_atom_site_label
_atom_site_fract_x
_atom_site_fract_y
_atom_site_fract_z
_atom_site_occupancy
Cs1 0.2500 0.2500 0.2500 1
Na1 0.0000 0.0000 0.0000 1
Ta1 0.0000 0.0000 0.5000 1
Cl1 0.0000 0.0000 0.2631 1
```

Computed properties:
The total magnetic moment is 0.200 μB/atom. Its uncorrected formation energy is -1.5949 eV per atom. The value obtained for the uncorrected energy is -4.383 eV per atom.

=====

No. 2
# CaCuSi2

A geometry-optimized CaCuSi2 structure (PBEsol, the Alexandria database).

Structure (CIF):
```
data_CaCuSi2
_chemical_formula_sum 'Ca4 Cu4 Si8'
_cell_length_a 6.4350
_cell_length_b 6.4350
_cell_length_c 6.4350
_cell_angle_alpha 90.00
_cell_angle_beta 90.00
_cell_angle_gamma 90.00
_symmetry_space_group_name_H-M 'F -4 3 m'
_symmetry_Int_Tables_number 216
_symmetry_space_group_name_Hall 'F -4 2 3'
loop_
_atom_site_label
_atom_site_fract_x
_atom_site_fract_y
_atom_site_fract_z
_atom_site_occupancy
Ca1 0.0000 0.0000 0.0000 1
Cu1 0.2500 0.2500 0.7500 1
Si1 0.0000 0.0000 0.5000 1
Si2 0.2500 0.2500 0.2500 1
```

Computed properties:
The total magnetic moment is 0.000 μB/atom. Its uncorrected formation energy is 0.1267 eV per atom. The value obtained for the uncorrected energy is -4.364 eV per atom.

=====

No. 3
# Cu3SeI

A geometry-optimized Cu3SeI structure (PBEsol, the Alexandria database).

Structure (CIF):
```
data_Cu3SeI
_chemical_formula_sum 'Cu3 Se1 I1'
_cell_length_a 3.9215
_cell_length_b 4.1475
_cell_length_c 6.9153
_cell_angle_alpha 91.49
_cell_angle_beta 90.13
_cell_angle_gamma 118.21
_symmetry_space_group_name_H-M 'P 1'
_symmetry_Int_Tables_number 1
loop_
_symmetry_equiv_pos_as_xyz
'x,y,z'
loop_
_atom_site_label
_atom_site_fract_x
_atom_site_fract_y
_atom_site_fract_z
_atom_site_occupancy
Cu1 0.0000 0.0000 0.0000 1
Cu2 0.3188 0.6368 0.1073 1
Cu3 0.6788 0.3613 0.8445 1
Se1 0.6363 0.2708 0.1904 1
I1 0.9701 0.9468 0.6332 1
```

Computed properties:
The total magnetic moment is 0.000 μB/atom. Its uncorrected formation energy is -0.0734 eV per atom. The value obtained for the uncorrected energy is -3.797 eV per atom. For the relative energy among the computed polymorphs, the calculation gives 0.00 eV/f.u.

=====

No. 4
# Ti2BeRuS

A geometry-optimized Ti2BeRuS structure (PBEsol, the Alexandria database).

Structure (CIF):
```
data_Ti2BeRuS
_chemical_formula_sum 'Ti2 Be1 Ru1 S1'
_cell_length_a 4.6339
_cell_length_b 4.6339
_cell_length_c 4.3581
_cell_angle_alpha 90.00
_cell_angle_beta 90.00
_cell_angle_gamma 90.00
_symmetry_space_group_name_H-M 'P 4/m m m'
_symmetry_Int_Tables_number 123
_symmetry_space_group_name_Hall '-P 4 2'
loop_
_atom_site_label
_atom_site_fract_x
_atom_site_fract_y
_atom_site_fract_z
_atom_site_occupancy
Ti1 0.0000 0.5000 0.0000 1
Be1 0.0000 0.0000 0.5000 1
Ru1 0.5000 0.5000 0.0000 1
S1 0.5000 0.5000 0.5000 1
```

Computed properties:
The total magnetic moment is 0.000 μB/atom. Its uncorrected formation energy is 0.7134 eV per atom. The value obtained for the uncorrected energy is -6.327 eV per atom.

=====

No. 5
# Ir3Ru

A geometry-optimized Ir3Ru structure (PBEsol, the Alexandria database).

Structure (CIF):
```
data_Ir3Ru
_chemical_formula_sum 'Ir3 Ru1'
_cell_length_a 2.6957
_cell_length_b 2.6957
_cell_length_c 7.6300
_cell_angle_alpha 90.00
_cell_angle_beta 90.00
_cell_angle_gamma 90.00
_symmetry_space_group_name_H-M 'P 4/m m m'
_symmetry_Int_Tables_number 123
_symmetry_space_group_name_Hall '-P 4 2'
loop_
_atom_site_label
_atom_site_fract_x
_atom_site_fract_y
_atom_site_fract_z
_atom_site_occupancy
Ir1 0.0000 0.0000 0.0000 1
Ir2 0.5000 0.5000 0.2534 1
Ru1 0.0000 0.0000 0.5000 1
```

Computed properties:
The total magnetic moment is 0.000 μB/atom. The calculation puts the energy of formation from the pure elements at -0.08 eV/f.u. The value obtained for the uncorrected energy is -9.932 eV per atom.

=====

No. 6
# CaEuZn2

A geometry-optimized CaEuZn2 structure (PBEsol, the Alexandria database).

Structure (CIF):
```
data_CaEuZn2
_chemical_formula_sum 'Ca4 Eu4 Zn8'
_cell_length_a 7.2483
_cell_length_b 7.2483
_cell_length_c 7.2483
_cell_angle_alpha 90.00
_cell_angle_beta 90.00
_cell_angle_gamma 90.00
_symmetry_space_group_name_H-M 'F m -3 m'
_symmetry_Int_Tables_number 225
_symmetry_space_group_name_Hall '-F 4 2 3'
loop_
_atom_site_label
_atom_site_fract_x
_atom_site_fract_y
_atom_site_fract_z
_atom_site_occupancy
Ca1 0.0000 0.0000 0.0000 1
Eu1 0.0000 0.0000 0.5000 1
Zn1 0.2500 0.2500 0.2500 1
```

Computed properties:
The total magnetic moment is 1.781 μB/atom. The calculation puts the energy of formation from the pure elements at -0.98 eV/f.u. The value obtained for the uncorrected energy is -4.209 eV per atom.

=====

No. 7
# HgS2O7

A geometry-optimized HgS2O7 structure (PBEsol, the Alexandria database).

Structure (CIF):
```
data_HgS2O7
_chemical_formula_sum 'Hg4 S8 O28'
_cell_length_a 5.2401
_cell_length_b 13.0900
_cell_length_c 9.6489
_cell_angle_alpha 90.00
_cell_angle_beta 120.80
_cell_angle_gamma 90.00
_symmetry_space_group_name_H-M 'P 1 21/c 1'
_symmetry_Int_Tables_number 14
loop_
_symmetry_equiv_pos_as_xyz
'x,y,z'
'-x,-y,-z'
'-x,y+1/2,-z+1/2'
'x,-y+1/2,z+1/2'
loop_
_atom_site_label
_atom_site_fract_x
_atom_site_fract_y
_atom_site_fract_z
_atom_site_occupancy
Hg1 0.1364 0.1538 0.3256 1
S1 0.2700 0.6814 0.5936 1
S2 0.3634 0.0219 0.6913 1
O1 0.0116 0.1724 0.0574 1
O2 0.2037 0.5136 0.2689 1
O3 0.2211 0.1087 0.5839 1
O4 0.2485 0.7417 0.7149 1
O5 0.3173 0.5631 0.6598 1
O6 0.4547 0.5586 0.1218 1
O7 0.4727 0.2054 0.9200 1
```

Computed properties:
The total magnetic moment is 0.000 μB/atom. Its uncorrected formation energy is -1.0909 eV per atom. The value obtained for the uncorrected energy is -5.699 eV per atom.

=====

No. 8
# NaHf3Al

A geometry-optimized NaHf3Al structure (PBEsol, the Alexandria database).

Structure (CIF):
```
data_NaHf3Al
_chemical_formula_sum 'Na1 Hf3 Al1'
_cell_length_a 4.8271
_cell_length_b 4.8271
_cell_length_c 4.8271
_cell_angle_alpha 90.00
_cell_angle_beta 90.00
_cell_angle_gamma 90.00
_symmetry_space_group_name_H-M 'P m -3 m'
_symmetry_Int_Tables_number 221
_symmetry_space_group_name_Hall '-P 4 2 3'
loop_
_atom_site_label
_atom_site_fract_x
_atom_site_fract_y
_atom_site_fract_z
_atom_site_occupancy
Na1 0.0000 0.0000 0.0000 1
Hf1 0.0000 0.0000 0.5000 1
Al1 0.5000 0.5000 0.5000 1
```

Computed properties:
The total magnetic moment is 0.000 μB/atom. The calculation puts the energy of formation from the pure elements at 7.69 eV/f.u. The value obtained for the uncorrected energy is -5.863 eV per atom.

=====

No. 9
# Y2CoCl

A geometry-optimized Y2CoCl structure (PBEsol, the Alexandria database).

Structure (CIF):
```
data_Y2CoCl
_chemical_formula_sum 'Y6 Co3 Cl3'
_cell_length_a 3.7488
_cell_length_b 3.7488
_cell_length_c 21.5898
_cell_angle_alpha 90.00
_cell_angle_beta 90.00
_cell_angle_gamma 120.00
_symmetry_space_group_name_H-M 'R -3 m'
_symmetry_Int_Tables_number 166
_symmetry_space_group_name_Hall '-R 3 2"'
loop_
_atom_site_label
_atom_site_fract_x
_atom_site_fract_y
_atom_site_fract_z
_atom_site_occupancy
Y1 0.0000 0.0000 0.2341 1
Co1 0.0000 0.0000 0.5000 1
Cl1 0.0000 0.0000 0.0000 1
```

Computed properties:
The total magnetic moment is 0.000 μB/atom. Its uncorrected formation energy is -0.8501 eV per atom. The value obtained for the uncorrected energy is -6.697 eV per atom. For the relative energy among the computed polymorphs, the calculation gives 0.00 eV/f.u.

=====

No. 10
# InSb2Se

A geometry-optimized InSb2Se structure (PBEsol, the Alexandria database).

Structure (CIF):
```
data_InSb2Se
_chemical_formula_sum 'In1 Sb2 Se1'
_cell_length_a 3.6496
_cell_length_b 4.1158
_cell_length_c 6.5669
_cell_angle_alpha 90.00
_cell_angle_beta 90.00
_cell_angle_gamma 90.00
_symmetry_space_group_name_H-M 'P m m m'
_symmetry_Int_Tables_number 47
loop_
_symmetry_equiv_pos_as_xyz
'x,y,z'
'-x,-y,-z'
'-x,-y,z'
'x,y,-z'
'x,-y,-z'
'-x,y,z'
'-x,y,-z'
'x,-y,z'
loop_
_atom_site_label
_atom_site_fract_x
_atom_site_fract_y
_atom_site_fract_z
_atom_site_occupancy
In1 0.0000 0.0000 0.0000 1
Sb1 0.5000 0.5000 0.2726 1
Se1 0.0000 0.0000 0.5000 1
```

Computed properties:
The total magnetic moment is 0.000 μB/atom. Its uncorrected formation energy is 0.1230 eV per atom. The value obtained for the uncorrected energy is -3.864 eV per atom. For the relative energy among the computed polymorphs, the calculation gives 1.01 eV/f.u.

=====

No. 11
# YFe2TeC

A geometry-optimized YFe2TeC structure (PBEsol, the Alexandria database).

Structure (CIF):
```
data_YFe2TeC
_chemical_formula_sum 'Y1 Fe2 Te1 C1'
_cell_length_a 4.8775
_cell_length_b 4.8775
_cell_length_c 4.2586
_cell_angle_alpha 90.00
_cell_angle_beta 90.00
_cell_angle_gamma 90.00
_symmetry_space_group_name_H-M 'P 4/m m m'
_symmetry_Int_Tables_number 123
_symmetry_space_group_name_Hall '-P 4 2'
loop_
_atom_site_label
_atom_site_fract_x
_atom_site_fract_y
_atom_site_fract_z
_atom_site_occupancy
Y1 0.0000 0.0000 0.0000 1
Fe1 0.0000 0.5000 0.0000 1
Te1 0.5000 0.5000 0.5000 1
C1 0.0000 0.0000 0.5000 1
```

Computed properties:
The total magnetic moment is 1.123 μB/atom. Its uncorrected formation energy is 1.9733 eV per atom. The value obtained for the uncorrected energy is -5.611 eV per atom.

=====

No. 12
# GeBPtI2

A geometry-optimized GeBPtI2 structure (PBEsol, the Alexandria database).

Structure (CIF):
```
data_GeBPtI2
_chemical_formula_sum 'Ge1 B1 Pt1 I2'
_cell_length_a 4.9995
_cell_length_b 4.9995
_cell_length_c 4.0802
_cell_angle_alpha 90.00
_cell_angle_beta 90.00
_cell_angle_gamma 90.00
_symmetry_space_group_name_H-M 'P 4/m m m'
_symmetry_Int_Tables_number 123
_symmetry_space_group_name_Hall '-P 4 2'
loop_
_atom_site_label
_atom_site_fract_x
_atom_site_fract_y
_atom_site_fract_z
_atom_site_occupancy
Ge1 0.0000 0.0000 0.0000 1
B1 0.0000 0.0000 0.5000 1
Pt1 0.5000 0.5000 0.0000 1
I1 0.0000 0.5000 0.5000 1
```

Computed properties:
The total magnetic moment is 0.000 μB/atom. Its uncorrected formation energy is 1.0179 eV per atom. The value obtained for the uncorrected energy is -3.473 eV per atom.

=====

Looking at DOS at the Fermi energy for the records above, in order, we have 7.23 2.01 0.05 5.02 3.47 6.78 0.00 4.65 0.93 2.20 6.76 2.97 states/eV/f.u..